Below is a geometry-optimized TaCr3F structure, with properties calculated at the PBE with a Hubbard U level.

Cell and atoms, written as POSCAR:
```
TaCr3F
1.0
-2.4069 -3.6345 -0.2042
2.9070 -1.7717 -2.7304
2.1911 -1.6419 3.3982
Cr Ta F
3 1 1
direct
0.0000 0.5000 0.0000 Cr
0.5000 0.0000 0.0000 Cr
0.0000 0.0000 0.5000 Cr
0.5000 0.5000 0.5000 Ta
0.0000 0.0000 0.0000 F
```

Calculated values
For the total magnetization, the calculation gives 10.00 μB/f.u. The value obtained for the density of states at the Fermi level is 0.181 states/eV per atom. The calculated total energy comes out at -34.33 eV for the cell shown.